1.
An optimized crystal structure of Zn3Tc5. Source: Alexandria, functional PBE.

abc: 6.106 6.106 3.092
angles: 90.00 90.00 91.97
Fractional coordinates of all 8 atoms:
1 Zn 0.500 0.500 0.000
2 Zn 0.255 0.255 0.500
3 Zn 0.745 0.745 0.500
4 Tc 0.000 0.000 0.000
5 Tc 0.000 0.500 0.000
6 Tc 0.500 0.000 0.000
7 Tc 0.752 0.248 0.500
8 Tc 0.248 0.752 0.500

Calculated values
calculated volume	14.4	Å³ per atom
raw total energy	-6.78	eV/atom
energy above the most stable polymorph in this dataset	0.419	eV per formula unit


2.
An optimized crystal structure of Zn5Tc24. Source: Alexandria, functional PBE.

abc: 8.254 8.254 8.254
angles: 109.47 109.47 109.47
Fractional coordinates of all 29 atoms:
1 Tc 0.194 0.376 0.000
2 Tc 0.376 0.194 0.000
3 Tc 0.806 0.806 0.182
4 Tc 0.624 0.624 0.818
5 Tc 0.806 0.182 0.806
6 Tc 0.624 0.818 0.624
7 Tc 0.376 0.000 0.194
8 Tc 0.194 0.000 0.376
9 Tc 0.000 0.376 0.194
10 Tc 0.000 0.194 0.376
11 Tc 0.818 0.624 0.624
12 Tc 0.182 0.806 0.806
13 Tc 0.681 0.397 0.000
14 Tc 0.397 0.681 0.000
15 Tc 0.319 0.319 0.715
16 Tc 0.603 0.603 0.285
17 Tc 0.319 0.715 0.319
18 Tc 0.603 0.285 0.603
19 Tc 0.397 0.000 0.681
20 Tc 0.681 0.000 0.397
21 Tc 0.000 0.397 0.681
22 Tc 0.000 0.681 0.397
23 Tc 0.285 0.603 0.603
24 Tc 0.715 0.319 0.319
25 Zn 0.000 0.653 0.000
26 Zn 0.653 0.000 0.000
27 Zn 0.000 0.000 0.653
28 Zn 0.347 0.347 0.347
29 Zn 0.000 0.000 0.000

Calculated values
calculated volume	14.9	Å³ per atom
raw total energy	-8.79	eV/atom


3.
An optimized crystal structure of Zn3Tc5. Source: Alexandria, functional PBE.

abc: 7.442 7.442 4.847
angles: 90.00 90.00 60.00
Fractional coordinates of all 16 atoms:
1 Zn 0.599 0.401 0.750
2 Zn 0.401 0.599 0.250
3 Zn 0.401 0.000 0.750
4 Zn 0.000 0.401 0.250
5 Zn 0.599 0.000 0.250
6 Zn 0.000 0.599 0.750
7 Tc 0.784 0.215 0.250
8 Tc 0.216 0.785 0.750
9 Tc 0.216 0.000 0.250
10 Tc 0.000 0.215 0.750
11 Tc 0.667 0.667 0.000
12 Tc 0.667 0.667 0.500
13 Tc 0.333 0.333 0.000
14 Tc 0.333 0.333 0.500
15 Tc 0.784 0.000 0.750
16 Tc 0.000 0.784 0.250

Calculated values
calculated volume	14.5	Å³ per atom
raw total energy	-6.62	eV/atom
energy above the most stable polymorph in this dataset	1.703	eV per formula unit


4.
An optimized crystal structure of ZnTc3. Source: Alexandria, functional PBE.

abc: 4.749 8.941 5.436
angles: 90.00 90.00 90.00
Fractional coordinates of all 16 atoms:
1 Zn 0.083 0.750 0.637
2 Zn 0.417 0.250 0.137
3 Zn 0.583 0.750 0.863
4 Zn 0.917 0.250 0.363
5 Tc 0.922 0.250 0.866
6 Tc 0.247 0.996 0.382
7 Tc 0.247 0.504 0.382
8 Tc 0.253 0.496 0.882
9 Tc 0.253 0.004 0.882
10 Tc 0.578 0.750 0.366
11 Tc 0.422 0.250 0.634
12 Tc 0.747 0.996 0.118
13 Tc 0.747 0.504 0.118
14 Tc 0.753 0.496 0.618
15 Tc 0.753 0.004 0.618
16 Tc 0.078 0.750 0.134

Calculated values
calculated volume	14.4	Å³ per atom
raw total energy	-7.96	eV/atom